# Fe2Se

A relaxed structure of Fe2Se (GGA-PBE, the Alexandria database). Values from VASP.

```
&SYSTEM
  ibrav = 0, nat = 6, ntyp = 2
/
ATOMIC_SPECIES
Fe 55.84 Fe.upf
Se 78.96 Se.upf
ATOMIC_POSITIONS angstrom
Fe 1.310 0.793 1.064
Fe 1.310 -0.793 3.191
Fe 6.123 0.793 1.064
Fe 6.123 -0.793 3.191
Se 3.717 1.220 1.064
Se 3.717 -1.220 3.191
CELL_PARAMETERS angstrom
3.717 -2.611 0.000
3.717 2.611 0.000
0.000 0.000 4.254
```

Computed properties:
* space group: No. 63
* calculated density: 7.670 g/cm³
* uncorrected formation energy: 0.132 eV per atom
* polymorph energy (0 for the lowest one): 274 meV per atom



# ErThCu2Si2

A relaxed structure of ErThCu2Si2 (GGA-PBE, the Alexandria database). Values from VASP.

```
&SYSTEM
  ibrav = 0, nat = 6, ntyp = 4
/
ATOMIC_SPECIES
Er 167.26 Er.upf
Th 232.04 Th.upf
Cu 63.55 Cu.upf
Si 28.09 Si.upf
ATOMIC_POSITIONS angstrom
Er 0.000 0.000 0.000
Th 0.000 0.000 3.905
Cu 0.000 2.385 5.937
Cu 2.065 1.192 1.873
Si 0.000 2.385 1.876
Si 2.065 1.192 5.933
CELL_PARAMETERS angstrom
4.131 0.000 0.000
-2.065 3.577 0.000
0.000 0.000 7.810
```

Computed properties:
* space group: No. 164
* calculated density: 8.382 g/cm³
* uncorrected formation energy: -0.662 eV per atom



# ReGeAs2

A relaxed structure of ReGeAs2 (GGA-PBE, the Alexandria database). Values from VASP.

```
&SYSTEM
  ibrav = 0, nat = 8, ntyp = 3
/
ATOMIC_SPECIES
Re 186.21 Re.upf
Ge 72.64 Ge.upf
As 74.92 As.upf
ATOMIC_POSITIONS angstrom
Re 0.000 0.000 0.000
Re 0.000 2.883 2.842
Ge 2.883 0.000 2.842
Ge 0.000 0.000 5.683
As 4.325 1.293 -1.421
As 1.293 1.442 1.421
As -1.442 1.590 4.263
As 1.590 1.442 7.104
CELL_PARAMETERS angstrom
-2.883 2.883 5.683
2.883 -2.883 5.683
2.883 2.883 -5.683
```

Computed properties:
* space group: No. 122
* calculated density: 7.182 g/cm³
* formation energy from the elements: 437 meV per atom



> calculated density of number 2 (ErThCu2Si2)?

8.382 g/cm³



> Among the records above, which one has the highest calculated density?

ErThCu2Si2